Below is a geometry-optimized KLiSbTe2 structure, with properties calculated at the GGA-PBE level.

Calculated values
Symmetry ... P4/mmm (123)
V ... 150.9 Å³/cell
Fermi-level density of states ... 4.3 states/eV per cell
E above lowest polymorph ... 0.3818 eV/atom
Total magnetic moment ... 0.0 μB/cell
Energy relative to the elements, uncorrected ... -1.05 eV per formula unit

Unit cell a=5.467 b=5.467 c=5.049 alpha=90.00 beta=90.00 gamma=90.00
Atoms (fractional coordinates):
K  0.000  0.000  0.000
Li  0.500  0.500  0.500
Sb  0.500  0.500  0.000
Te  0.000  0.500  0.500
Te  0.500  0.000  0.500